# BaHf2Sn2 | Alexandria | PBE-GGA | optimized geometry
# Electronic total energy ... -61.7 eV for the cell shown
# Formation enthalpy at 0 K ... -19 kJ/mol of atoms
data_BaHf2Sn2
_space_group_name_H-M_alt 'P 4/m b m'
_space_group_IT_number 127
_space_group_name_Hall '-P 4 2ab'
_cell_length_a 8.9756
_cell_length_b 8.9756
_cell_length_c 3.2224
_cell_angle_alpha 90.00
_cell_angle_beta 90.00
_cell_angle_gamma 90.00
loop_
_atom_site_label
_atom_site_fract_x
_atom_site_fract_y
_atom_site_fract_z
_atom_site_occupancy
Ba1 0.0000 0.0000 0.0000 1
Hf1 0.1199 0.3801 0.0000 1
Sn1 0.1706 0.6706 0.5000 1

***

# CeZnSn2 | Alexandria | PBE-GGA | optimized geometry
# Electronic total energy ... -17.1 eV for the cell shown
# Formation enthalpy at 0 K ... -44 kJ/mol of atoms
data_CeZnSn2
_space_group_name_H-M_alt 'P 4/m m m'
_space_group_IT_number 123
_space_group_name_Hall '-P 4 2'
_cell_length_a 4.6171
_cell_length_b 4.6171
_cell_length_c 4.5262
_cell_angle_alpha 90.00
_cell_angle_beta 90.00
_cell_angle_gamma 90.00
loop_
_atom_site_label
_atom_site_fract_x
_atom_site_fract_y
_atom_site_fract_z
_atom_site_occupancy
Ce1 0.0000 0.0000 0.0000 1
Zn1 0.5000 0.5000 0.0000 1
Sn1 0.0000 0.5000 0.5000 1

***

# Nd4SnBi2Te | Alexandria | PBE-GGA | optimized geometry
# Raw formation energy ... -1.036 eV/atom
# Electronic total energy ... -42.3 eV for the cell shown
data_Nd4SnBi2Te
_space_group_name_H-M_alt 'P 1 2/m 1'
_space_group_IT_number 10
_space_group_name_Hall '-P 2y'
_cell_length_a 7.9148
_cell_length_b 4.5534
_cell_length_c 7.9170
_cell_angle_alpha 90.00
_cell_angle_beta 109.28
_cell_angle_gamma 90.00
loop_
_atom_site_label
_atom_site_fract_x
_atom_site_fract_y
_atom_site_fract_z
_atom_site_occupancy
Nd1 0.2453 0.0000 0.2455 1
Nd2 0.2486 0.5000 0.7556 1
Sn1 0.0000 0.5000 0.0000 1
Bi1 0.5000 0.0000 0.0000 1
Bi2 0.5000 0.5000 0.5000 1
Te1 0.0000 0.0000 0.5000 1

***

# PmPrBiS | Alexandria | PBE-GGA | optimized geometry
# Raw formation energy ... -1.174 eV/atom
# Electronic total energy ... -133.4 eV for the cell shown
data_PmPrBiS
_space_group_name_H-M_alt 'R -3 m'
_space_group_IT_number 166
_space_group_name_Hall '-R 3 2"'
_cell_length_a 5.1368
_cell_length_b 5.1368
_cell_length_c 33.5286
_cell_angle_alpha 90.00
_cell_angle_beta 90.00
_cell_angle_gamma 120.00
loop_
_atom_site_label
_atom_site_fract_x
_atom_site_fract_y
_atom_site_fract_z
_atom_site_occupancy
Pm1 0.0000 0.0000 0.1233 1
Pr1 0.0000 0.0000 0.2950 1
Bi1 0.0000 0.0000 0.3991 1
S1 0.0000 0.0000 0.2044 1

***

# Fe2Ni2Pd7 | Alexandria | PBE-GGA | optimized geometry
# Electronic total energy ... -129.5 eV for the cell shown
# Formation enthalpy at 0 K ... 1 kJ/mol of atoms
data_Fe2Ni2Pd7
_space_group_name_H-M_alt 'I m m 2'
_space_group_IT_number 44
_space_group_name_Hall 'I 2 -2'
_cell_length_a 4.1392
_cell_length_b 11.1896
_cell_length_c 6.9181
_cell_angle_alpha 90.00
_cell_angle_beta 90.00
_cell_angle_gamma 90.00
loop_
_atom_site_label
_atom_site_fract_x
_atom_site_fract_y
_atom_site_fract_z
_atom_site_occupancy
Fe1 0.0000 0.1972 0.0000 1
Ni1 0.0000 0.0000 0.8089 1
Ni2 0.0000 0.5000 0.0006 1
Pd1 0.0000 0.0000 0.1820 1
Pd2 0.0000 0.1411 0.5068 1
Pd3 0.0000 0.3443 0.7206 1
Pd4 0.0000 0.3530 0.2894 1

***

# K2Sr2In | Alexandria | PBE-GGA | optimized geometry
# Electronic total energy ... -16.0 eV for the cell shown
# Formation enthalpy at 0 K ... 6 kJ/mol of atoms
data_K2Sr2In
_space_group_name_H-M_alt 'P 4/m b m'
_space_group_IT_number 127
_space_group_name_Hall '-P 4 2ab'
_cell_length_a 8.8648
_cell_length_b 8.8648
_cell_length_c 7.2125
_cell_angle_alpha 90.00
_cell_angle_beta 90.00
_cell_angle_gamma 90.00
loop_
_atom_site_label
_atom_site_fract_x
_atom_site_fract_y
_atom_site_fract_z
_atom_site_occupancy
K1 0.1754 0.3246 0.0000 1
Sr1 0.1646 0.6646 0.5000 1
In1 0.0000 0.0000 0.5000 1

***

# NaScCrCl6 | Alexandria | PBE-GGA | optimized geometry
# Raw formation energy ... -1.637 eV/atom
# Electronic total energy ... -86.2 eV for the cell shown
data_NaScCrCl6
_space_group_name_H-M_alt 'P -3 1 c'
_space_group_IT_number 163
_space_group_name_Hall '-P 3 2c'
_cell_length_a 6.4444
_cell_length_b 6.4444
_cell_length_c 12.6014
_cell_angle_alpha 90.00
_cell_angle_beta 90.00
_cell_angle_gamma 120.00
loop_
_atom_site_label
_atom_site_fract_x
_atom_site_fract_y
_atom_site_fract_z
_atom_site_occupancy
Na1 0.0000 0.0000 0.0000 1
Sc1 0.3333 0.6667 0.2500 1
Cr1 0.3333 0.6667 0.7500 1
Cl1 0.9999 0.3601 0.1373 1

***

# NdCo5Si2 | Alexandria | PBE-GGA | optimized geometry
# Raw formation energy ... -0.374 eV/atom
# Electronic total energy ... -108.3 eV for the cell shown
data_NdCo5Si2
_space_group_name_H-M_alt 'I m m m'
_space_group_IT_number 71
_space_group_name_Hall '-I 2 2'
_cell_length_a 3.6583
_cell_length_b 6.5002
_cell_length_c 9.1436
_cell_angle_alpha 90.00
_cell_angle_beta 90.00
_cell_angle_gamma 90.00
loop_
_atom_site_label
_atom_site_fract_x
_atom_site_fract_y
_atom_site_fract_z
_atom_site_occupancy
Nd1 0.0000 0.0000 0.0000 1
Co1 0.0000 0.1862 0.3561 1
Co2 0.0000 0.5000 0.0000 1
Si1 0.0000 0.5000 0.2411 1

***

The evaluated DOS at the Fermi energy for the records listed, in turn: 0.469; 1.313; 0.179; 0.879; 0.897; 1.653; 0.796; 1.161 states/eV/atom.